{"formula": "Cr2Tc", "functional": "PBE", "state": "relaxed", "lattice": [[2.9410, 0.0000, 0.0000], [1.4705, 6.1139, 0.0000], [0.0000, 0.0000, 4.2564]], "species": ["Cr", "Cr", "Cr", "Cr", "Tc", "Tc"], "frac_coords": [[0.0340, 0.9319, 0.0000], [0.6882, 0.6235, 0.0000], [0.5340, 0.9320, 0.5000], [0.1882, 0.6236, 0.5000], [0.3612, 0.2776, 0.0000], [0.8610, 0.2780, 0.5000]], "dos_ef_per_ev_cell": 6.19, "energy_ev_per_atom": -9.778, "delta_e_f_ev_per_fu": 0.28, "polymorph_energy_mev_per_atom": 69.2, "spacegroup": "No. 69"}